PrSi2Ag: relaxed, PBE.

It has space group Pnma (No. 62), with a = 13.860 Å, b = 4.257 Å, c = 10.992 Å, α = 90.00°, β = 90.00° and γ = 90.00°. Symmetry generates all atoms from Pr at (0.054, 0.250, 0.243), Pr at (0.197, 0.750, 0.969), Si at (0.029, 0.250, 0.965), Si at (0.110, 0.250, 0.779), Si at (0.131, 0.750, 0.451), Si at (0.215, 0.750, 0.267), Ag at (0.060, 0.250, 0.554) and Ag at (0.202, 0.750, 0.669).

The energy above the most stable polymorph in this dataset comes out at 0.07 eV per formula unit.